A plane-wave DFT calculation with PBE was carried out for SrBeOsO5 after structural relaxation.

Lattice parameters (Å, degrees): 5.508 5.508 7.256 104.21 104.21 106.11
Each line ends with the local moment (μB).
Sites, in units of the cell vectors:
Sr 0.336 0.664 0.250  0.00
Sr 0.664 0.336 0.750  0.00
Be 0.692 0.308 0.250  0.00
Be 0.308 0.692 0.750  0.00
Os 0.000 0.000 0.500  0.24
Os 0.000 0.000 0.000  0.24
O 0.054 0.946 0.250  0.01
O 0.946 0.054 0.750  0.01
O 0.884 0.297 0.107  0.03
O 0.116 0.703 0.893  0.03
O 0.703 0.116 0.393  0.03
O 0.297 0.884 0.607  0.03
O 0.768 0.626 0.404  0.03
O 0.232 0.374 0.596  0.03
O 0.374 0.232 0.096  0.03
O 0.626 0.768 0.904  0.03

Calculated values
SG: No. 15
density: 6.3 g/cm³
raw formation energy: -1.91 eV/atom